Entry 1:
Below is crystalline PrTmMg2Tl4 at its relaxed geometry, with properties calculated at the PBE level.

```
PrTmMg2Tl4
1.0
2.6298 1.5183 8.8454
-2.6298 1.5183 8.8454
0.0000 -3.0367 8.8454
Pr Tm Mg Tl
1 1 2 4
Direct
0.0000 0.0000 0.0000 Pr
0.5000 0.5000 0.5000 Tm
0.2492 0.2492 0.2492 Mg
0.7508 0.7508 0.7508 Mg
0.1273 0.1273 0.1273 Tl
0.3798 0.3798 0.3798 Tl
0.6202 0.6202 0.6202 Tl
0.8727 0.8727 0.8727 Tl
```

Values from the calculation:
SG: R-3m, No. 166
energy relative to the elements: -1.72 eV per formula unit

---

Entry 2:
Below is crystalline TaMo2Se at its relaxed geometry, with properties calculated at the PBE level.

```
TaMo2Se
1.0
3.0936 0.0000 0.0000
0.0000 4.2157 0.0000
0.0000 0.0000 5.1470
Ta Mo Se
1 2 1
Direct
0.0000 0.0000 0.0000 Ta
0.5000 0.5000 0.2473 Mo
0.5000 0.5000 0.7527 Mo
0.0000 0.0000 0.5000 Se
```

Values from the calculation:
formation energy from raw total energies: 66.5 kJ/mol of formula units
SG: Pmmm, No. 47